DFT (PBE) results for DyTeAs after structural relaxation.

The space group is Pnma (No. 62) and the conventional cell measures 7.529, 4.066 and 9.936 Å, with angles of 90.00, 90.00 and 90.00 degrees. The asymmetric unit holds Dy at (0.232, 0.250, 0.159), Te at (0.086, 0.250, 0.852) and As at (0.098, 0.250, 0.460).

Its magnetization is 0.00 μB/f.u. The crystal system is orthorhombic.

DFT (PBE) results for BaZrNO after structural relaxation.

The space group is P4/nmm (No. 129, origin choice 2) and the conventional cell measures 4.333, 4.333 and 10.205 Å, with angles of 90.00, 90.00 and 90.00 degrees. The asymmetric unit holds Ba at (0.250, 0.250, 0.122), Zr at (0.250, 0.750, 0.500), N at (0.250, 0.250, 0.538) and O at (0.250, 0.750, 0.000).

Its magnetization is 0.21 μB/f.u. The crystal system is tetragonal.

DFT (PBE) results for Er7Zn2Se2 after structural relaxation.

The space group is Imm2 (No. 44) and the conventional cell measures 3.976, 14.844 and 9.346 Å, with angles of 90.00, 90.00 and 90.00 degrees. The asymmetric unit holds Er at (0.000, 0.000, 0.000), Er at (0.000, 0.121, 0.404), Er at (0.000, 0.317, 0.613), Er at (0.000, 0.366, 0.241), Zn at (0.000, 0.236, 0.910), Se at (0.000, 0.000, 0.652) and Se at (0.000, 0.500, 0.755).

Its magnetization is 0.02 μB/f.u. The crystal system is orthorhombic.

DFT (PBE) results for HgPbSeO after structural relaxation.

The space group is Pnma (No. 62) and the conventional cell measures 6.439, 3.919 and 15.305 Å, with angles of 90.00, 90.00 and 90.00 degrees. The asymmetric unit holds Hg at (0.163, 0.250, 0.091), Pb at (0.119, 0.750, 0.321), Se at (0.246, 0.750, 0.952) and O at (0.240, 0.250, 0.673).

The crystal system is orthorhombic.

DFT (PBE) results for LuInTc after structural relaxation.

The space group is F-43m (No. 216) and the conventional cell measures 6.555, 6.555 and 6.555 Å, with angles of 90.00, 90.00 and 90.00 degrees. The asymmetric unit holds Lu at (0.000, 0.000, 0.000), In at (0.000, 0.000, 0.500) and Tc at (0.250, 0.250, 0.750).

Its magnetization is 0.55 μB/f.u. The crystal system is cubic.

DFT (PBE) results for PaCdIn after structural relaxation.

The space group is F-43m (No. 216) and the conventional cell measures 7.148, 7.148 and 7.148 Å, with angles of 90.00, 90.00 and 90.00 degrees. The asymmetric unit holds Pa at (0.000, 0.000, 0.000), Cd at (0.250, 0.250, 0.750) and In at (0.250, 0.250, 0.250).

Its magnetization is 0.71 μB/f.u. The crystal system is cubic.

Number 1: final energy -63.756 eV per cell. Number 2: final energy -59.526 eV per cell. Number 3: final energy -98.594 eV per cell. Number 4: final energy -55.700 eV per cell. Number 5: final energy -67.556 eV per cell. Number 6: final energy -44.843 eV per cell.